BaTaNi2F | PBE with a Hubbard U | optimized geometry

Values from the calculation:
Its calculated density is 7.49 g cm⁻³. The value obtained for the density of states at the Fermi level is 4.3 states/eV/cell. The electronic total energy comes out at -17.86 eV/cell.

```
data_BaTaNi2F
_chemical_formula_sum 'Ba1 Ta1 Ni2 F1'
_cell_length_a 4.544
_cell_length_b 4.544
_cell_length_c 4.884
_cell_angle_alpha 90.00
_cell_angle_beta 90.00
_cell_angle_gamma 90.00
_space_group_name_H-M_alt 'P 4/m m m'
_space_group_IT_number 123
_space_group_name_Hall '-P 4 2'
loop_
_atom_site_label
_atom_site_type_symbol
_atom_site_fract_x
_atom_site_fract_y
_atom_site_fract_z
Ba1 Ba 0.000 0.000 0.000
Ta1 Ta 0.500 0.500 0.000
Ni1 Ni 0.000 0.500 0.500
F1 F 0.000 0.000 0.500
```